Sr3CrSi | GGA-PBEsol | optimized geometry

## Properties
**Formation energy (no corrections)**: 0.869 eV/atom
**Total magnetic moment**: 4.24 μB per cell

Unit cell a=5.6526 b=5.6526 c=5.6526 alpha=90.00 beta=90.00 gamma=90.00
Last column: nearest neighbours and their distance in Å.
Fractional coordinates of all 5 atoms:
Sr: 0.0000 0.5000 0.0000  2 Cr 2.83
Sr: 0.0000 0.0000 0.5000  2 Cr 2.83
Sr: 0.5000 0.0000 0.0000  2 Cr 2.83
Si: 0.5000 0.5000 0.5000  12 Sr 4.00
Cr: 0.0000 0.0000 0.0000  6 Sr 2.83